No. 1
Dy2BeAu (PBE-GGA, optimized geometry); ΔE to the lowest computed polymorph = 0.0000 eV per atom; D(E_F) = 2.85 states/eV/f.u.; DFT formation energy = -380.4 meV per atom; total energy = -17.73 eV for the cell shown
1.0
3.529 0.000 0.000
0.000 3.529 0.000
0.000 0.000 6.902
Dy Be Au
2 1 1
direct
0.000 0.000 0.236
0.000 0.000 0.764
0.500 0.500 0.000
0.500 0.500 0.500


No. 2
Tc3PtO12 (PBE-GGA, optimized geometry); D(E_F) = 5.13 states/eV/f.u.; total energy = -228.62 eV for the cell shown; formation energy (no corrections) = -1.105 eV/atom
1.0
4.404 2.542 9.391
-4.404 2.542 9.391
0.000 -5.085 9.391
Tc Pt O
6 2 24
direct
0.051 0.307 0.642
0.142 0.807 0.551
0.307 0.642 0.051
0.551 0.142 0.807
0.642 0.051 0.307
0.807 0.551 0.142
0.423 0.423 0.423
0.923 0.923 0.923
0.031 0.426 0.441
0.064 0.083 0.747
0.083 0.747 0.064
0.104 0.788 0.754
0.247 0.583 0.564
0.254 0.288 0.604
0.282 0.919 0.364
0.288 0.604 0.254
0.364 0.282 0.919
0.419 0.782 0.864
0.426 0.441 0.031
0.441 0.031 0.426
0.531 0.941 0.926
0.564 0.247 0.583
0.583 0.564 0.247
0.604 0.254 0.288
0.747 0.064 0.083
0.754 0.104 0.788
0.782 0.864 0.419
0.788 0.754 0.104
0.864 0.419 0.782
0.919 0.364 0.282
0.926 0.531 0.941
0.941 0.926 0.531


No. 3
Li3Mo (PBE-GGA, optimized geometry); ΔE to the lowest computed polymorph = 0.5483 eV per atom; D(E_F) = 3.76 states/eV/f.u.; DFT formation energy = 780.4 meV per atom; total energy = -26.90 eV for the cell shown
1.0
5.604 0.000 0.000
-2.802 4.854 0.000
0.000 0.000 4.731
Li Mo
6 2
direct
0.170 0.340 0.250
0.170 0.830 0.250
0.340 0.170 0.750
0.660 0.830 0.250
0.830 0.170 0.750
0.830 0.660 0.750
0.333 0.667 0.750
0.667 0.333 0.250


No. 4
CaYH (PBE-GGA, optimized geometry); ΔE to the lowest computed polymorph = 0.0000 eV per atom; D(E_F) = 3.11 states/eV/f.u.; total energy = -99.39 eV for the cell shown
1.0
7.316 0.000 0.000
0.000 11.855 0.000
0.000 0.000 6.580
Ca Y H
8 8 8
direct
0.128 0.241 0.000
0.132 0.497 0.319
0.368 0.997 0.819
0.372 0.741 0.500
0.628 0.259 0.000
0.632 0.003 0.319
0.868 0.503 0.819
0.872 0.759 0.500
0.118 0.743 0.998
0.124 0.994 0.308
0.376 0.494 0.808
0.382 0.243 0.498
0.618 0.757 0.998
0.624 0.506 0.308
0.876 0.006 0.808
0.882 0.257 0.498
0.115 0.044 0.993
0.152 0.368 0.616
0.348 0.868 0.116
0.385 0.544 0.493
0.615 0.456 0.993
0.652 0.132 0.616
0.848 0.632 0.116
0.885 0.956 0.493


No. 5
LiCaBrCl2 (PBE-GGA, optimized geometry); D(E_F) = 0.00 states/eV/f.u.; total energy = -38.81 eV for the cell shown; formation energy (no corrections) = -2.025 eV/atom
1.0
7.766 0.000 0.000
0.000 4.365 0.000
-0.886 0.000 8.147
Li Ca Br Cl
2 2 2 4
direct
0.138 0.250 0.451
0.862 0.750 0.549
0.267 0.750 0.925
0.733 0.250 0.075
0.141 0.250 0.138
0.859 0.750 0.862
0.179 0.750 0.572
0.450 0.250 0.830
0.550 0.750 0.170
0.821 0.250 0.428


No. 6
Tb8GaGe3Te4 (PBE-GGA, optimized geometry); D(E_F) = 6.49 states/eV/f.u.; total energy = -84.45 eV for the cell shown; formation energy (no corrections) = -1.122 eV/atom
1.0
4.242 2.449 7.170
-4.242 2.449 7.170
0.000 -4.898 7.170
Tb Ga Ge Te
8 1 3 4
direct
0.239 0.744 0.744
0.240 0.240 0.240
0.256 0.256 0.761
0.256 0.761 0.256
0.744 0.239 0.744
0.744 0.744 0.239
0.760 0.760 0.760
0.761 0.256 0.256
0.500 0.500 0.500
0.000 0.000 0.500
0.000 0.500 0.000
0.500 0.000 0.000
0.000 0.000 0.000
0.000 0.500 0.500
0.500 0.000 0.500
0.500 0.500 0.000


No. 7
Tm4ScNi (PBE-GGA, optimized geometry); D(E_F) = 8.30 states/eV/f.u.; DFT formation energy = -68.2 meV per atom; total energy = -60.82 eV for the cell shown
1.0
4.431 -6.220 0.000
4.431 6.220 0.000
-1.677 0.000 5.637
Tm Sc Ni
8 2 2
direct
0.062 0.723 0.950
0.180 0.372 0.628
0.277 0.938 0.550
0.372 0.180 0.128
0.628 0.820 0.872
0.723 0.062 0.450
0.820 0.628 0.372
0.938 0.277 0.050
0.392 0.608 0.250
0.608 0.392 0.750
0.000 0.000 0.250
0.000 0.000 0.750


No. 8
TlPPtN2 (PBE-GGA, optimized geometry); D(E_F) = 1.78 states/eV/f.u.; total energy = -24.85 eV for the cell shown; formation energy (no corrections) = 1.124 eV/atom
1.0
3.570 0.000 0.000
0.000 3.570 0.000
0.000 0.000 8.011
Tl P Pt N
1 1 1 2
direct
0.000 0.000 0.000
0.000 0.000 0.500
0.500 0.500 0.000
0.000 0.500 0.500
0.500 0.000 0.500


No. 9
OsS2I (PBE-GGA, optimized geometry); ΔE to the lowest computed polymorph = 0.2288 eV per atom; D(E_F) = 3.75 states/eV/f.u.; total energy = -40.16 eV for the cell shown; formation energy (no corrections) = 0.239 eV/atom
1.0
-3.329 3.329 4.768
3.329 -3.329 4.768
3.329 3.329 -4.768
Os S I
2 4 2
direct
0.000 0.000 0.000
0.750 0.250 0.500
0.000 0.625 0.875
0.375 0.250 0.375
0.750 0.125 0.125
0.875 0.000 0.625
0.250 0.750 0.500
0.500 0.500 0.000


No. 10
ZnGa4Ni5 (PBE-GGA, optimized geometry); D(E_F) = 6.61 states/eV/f.u.; DFT formation energy = -345.6 meV per atom; total energy = -45.74 eV for the cell shown
1.0
2.915 0.000 0.000
0.000 2.915 0.000
0.000 0.000 14.540
Zn Ga Ni
1 4 5
direct
0.000 0.000 0.000
0.000 0.000 0.199
0.000 0.000 0.400
0.000 0.000 0.600
0.000 0.000 0.801
0.500 0.500 0.103
0.500 0.500 0.300
0.500 0.500 0.500
0.500 0.500 0.700
0.500 0.500 0.897


No. 11
Y2SbPt2 (PBE-GGA, optimized geometry); ΔE to the lowest computed polymorph = 0.2022 eV per atom; D(E_F) = 4.41 states/eV/f.u.; total energy = -33.78 eV for the cell shown; formation energy (no corrections) = -0.930 eV/atom
1.0
-1.967 1.967 7.796
1.967 -1.967 7.796
1.967 1.967 -7.796
Y Sb Pt
2 1 2
direct
0.115 0.115 0.000
0.885 0.885 0.000
0.500 0.500 0.000
0.250 0.750 0.500
0.750 0.250 0.500


No. 12
Sr2ErCuO4 (PBE-GGA, optimized geometry); total energy = -50.52 eV for the cell shown; formation energy (no corrections) = -2.333 eV/atom
1.0
6.073 0.000 0.000
0.000 3.473 0.000
-2.234 0.000 5.672
Sr Er Cu O
2 1 1 4
direct
0.000 0.000 0.000
0.000 0.500 0.500
0.500 0.000 0.500
0.500 0.500 0.000
0.266 0.500 0.284
0.278 0.000 0.741
0.722 0.000 0.259
0.734 0.500 0.716


No. 13
LiNdYS3 (PBE-GGA, optimized geometry); D(E_F) = 1.86 states/eV/f.u.; total energy = -73.04 eV for the cell shown; formation energy (no corrections) = -1.832 eV/atom
1.0
8.149 0.000 0.000
0.000 3.869 0.000
-1.838 0.000 8.258
Li Nd Y S
2 2 2 6
direct
0.087 0.250 0.085
0.913 0.750 0.915
0.187 0.250 0.722
0.813 0.750 0.278
0.337 0.750 0.334
0.663 0.250 0.666
0.099 0.250 0.367
0.213 0.750 0.998
0.429 0.750 0.671
0.571 0.250 0.329
0.787 0.250 0.002
0.901 0.750 0.633


No. 14
HgBiSeBr2 (PBE-GGA, optimized geometry); ΔE to the lowest computed polymorph = 0.0000 eV per atom; D(E_F) = 5.19 states/eV/f.u.; total energy = -11.63 eV for the cell shown; formation energy (no corrections) = -0.124 eV/atom
1.0
5.729 0.000 0.000
0.000 5.729 0.000
0.000 0.000 5.670
Hg Bi Se Br
1 1 1 2
direct
0.000 0.000 0.000
0.500 0.500 0.500
0.500 0.500 0.000
0.000 0.500 0.500
0.500 0.000 0.500


No. 15
YCoNiGe2 (PBE-GGA, optimized geometry); D(E_F) = 2.49 states/eV/f.u.; DFT formation energy = -644.4 meV per atom; total energy = -31.81 eV for the cell shown
1.0
-2.009 2.009 5.010
2.009 -2.009 5.010
2.009 2.009 -5.010
Y Co Ni Ge
1 1 1 2
direct
0.000 0.000 0.000
0.750 0.250 0.500
0.250 0.750 0.500
0.373 0.373 0.000
0.627 0.627 0.000


No. 16
LiTiSn2 (PBE-GGA, optimized geometry); ΔE to the lowest computed polymorph = 0.1150 eV per atom; D(E_F) = 4.04 states/eV/f.u.; DFT formation energy = -115.9 meV per atom; total energy = -18.28 eV for the cell shown
1.0
0.000 3.446 3.446
3.446 0.000 3.446
3.446 3.446 0.000
Li Ti Sn
1 1 2
direct
0.000 0.000 0.000
0.500 0.500 0.500
0.250 0.250 0.250
0.750 0.750 0.750


No. 17
Cs2NbZnF6 (PBE-GGA, optimized geometry); D(E_F) = 8.66 states/eV/f.u.; total energy = -49.46 eV for the cell shown; formation energy (no corrections) = -2.518 eV/atom
1.0
0.000 4.946 4.946
4.946 0.000 4.946
4.946 4.946 0.000
Cs Nb Zn F
2 1 1 6
direct
0.250 0.250 0.250
0.750 0.750 0.750
0.000 0.000 0.000
0.500 0.500 0.500
0.204 0.204 0.796
0.204 0.796 0.204
0.204 0.796 0.796
0.796 0.204 0.204
0.796 0.204 0.796
0.796 0.796 0.204


No. 18
ReTcAu4 (PBE-GGA, optimized geometry); D(E_F) = 3.29 states/eV/f.u.; DFT formation energy = 928.8 meV per atom; total energy = -30.35 eV for the cell shown
1.0
0.000 3.789 3.789
3.789 0.000 3.789
3.789 3.789 0.000
Re Tc Au
1 1 4
direct
0.000 0.000 0.000
0.250 0.250 0.250
0.125 0.625 0.625
0.625 0.125 0.625
0.625 0.625 0.125
0.625 0.625 0.625


No. 19
Ta2TlSb (PBE-GGA, optimized geometry); ΔE to the lowest computed polymorph = 0.2445 eV per atom; D(E_F) = 2.21 states/eV/f.u.; total energy = -28.30 eV for the cell shown; formation energy (no corrections) = 0.474 eV/atom
1.0
4.826 -1.716 0.000
4.826 1.716 0.000
-0.778 0.000 5.063
Ta Tl Sb
2 1 1
direct
0.249 0.249 0.230
0.751 0.751 0.770
0.000 0.000 0.500
0.500 0.500 0.000


No. 20
ZrZnBiP2 (PBE-GGA, optimized geometry); D(E_F) = 4.50 states/eV/f.u.; DFT formation energy = 658.6 meV per atom; total energy = -21.23 eV for the cell shown
1.0
4.606 0.000 0.000
0.000 4.606 0.000
0.000 0.000 5.320
Zr Zn Bi P
1 1 1 2
direct
0.000 0.000 0.000
0.500 0.500 0.500
0.500 0.500 0.000
0.000 0.500 0.500
0.500 0.000 0.500


No. 21
LuPuMnRh (PBE-GGA, optimized geometry); D(E_F) = 4.68 states/eV/f.u.; DFT formation energy = -303.3 meV per atom; total energy = -36.59 eV for the cell shown
1.0
0.000 3.381 3.381
3.381 0.000 3.381
3.381 3.381 0.000
Lu Pu Mn Rh
1 1 1 1
direct
0.000 0.000 0.000
0.500 0.500 0.500
0.750 0.750 0.750
0.250 0.250 0.250


No. 22
Ge3Sb2 (PBE-GGA, optimized geometry); D(E_F) = 2.09 states/eV/f.u.; total energy = -41.11 eV for the cell shown; formation energy (no corrections) = 0.308 eV/atom
1.0
3.738 2.158 5.416
-3.738 2.158 5.416
0.000 -4.316 5.416
Ge Sb
6 4
direct
0.009 0.250 0.491
0.250 0.491 0.009
0.491 0.009 0.250
0.509 0.991 0.750
0.750 0.509 0.991
0.991 0.750 0.509
0.110 0.110 0.110
0.390 0.390 0.390
0.610 0.610 0.610
0.890 0.890 0.890


No. 23
Nd4ThZn (PBE-GGA, optimized geometry); D(E_F) = 6.36 states/eV/f.u.; DFT formation energy = -80.4 meV per atom; total energy = -28.25 eV for the cell shown
1.0
3.675 0.000 0.000
0.000 3.675 0.000
0.000 0.000 14.006
Nd Th Zn
4 1 1
direct
0.000 0.000 0.129
0.000 0.000 0.871
0.500 0.500 0.326
0.500 0.500 0.674
0.000 0.000 0.500
0.500 0.500 0.000